Compound: MgFe4O8
Source: the Alexandria database
Functional: PBE with a Hubbard U
Structure: optimized geometry

Relative energy among the computed polymorphs = 0 meV per atom
Uncorrected energy = -0.454 Ry/atom
Total magnetization = 12.00 Bohr magnetons per cell
Space-group type = No. 166

Unit cell a=5.980 b=5.980 c=5.980 alpha=58.79 beta=58.79 gamma=58.79
Atoms (fractional coordinates):
Fe 0.000 0.000 0.000
Fe 0.500 0.000 0.500
Fe 0.000 0.500 0.500
Fe 0.500 0.500 0.000
O 0.280 0.755 0.755
O 0.245 0.245 0.720
O 0.755 0.755 0.280
O 0.266 0.266 0.266
O 0.720 0.245 0.245
O 0.245 0.720 0.245
O 0.734 0.734 0.734
O 0.755 0.280 0.755
Mg 0.500 0.500 0.500